Entry 1:
A plane-wave DFT calculation with PBE-GGA was carried out for a geometry-optimized YWN3 structure.

Unit cell a=5.8941 b=4.0336 c=6.0292 alpha=70.46 beta=113.67 gamma=90.00
Element x y z (fractional)
N 0.2437 0.8692 0.0184
N 0.4405 0.1633 0.4298
Y 0.9923 0.1102 0.5358
W 0.1637 0.3575 0.0419
W 0.4287 0.6635 0.4294
Y 0.6196 0.9085 0.9399
N 0.7656 0.6898 0.3768
N 0.3180 0.5198 0.7172
N 0.8820 0.3312 0.0943
N 0.8169 0.5563 0.6436

Properties
total moment	0.00	μB per formula unit
V	122	Å³/cell
crystal system	monoclinic
N(E_F)	1.3	states/eV per cell


Entry 2:
A plane-wave DFT calculation with PBE-GGA was carried out for a geometry-optimized Tb5CeSb6 structure.

Unit cell a=7.6559 b=7.6485 c=7.6519 alpha=60.02 beta=80.41 gamma=70.52
Element x y z (fractional)
Sb 0.2503 0.2518 0.0000
Sb 0.2518 0.9160 0.6649
Sb 0.7497 0.7482 0.0000
Tb 0.5000 0.8343 0.3314
Tb 0.5000 0.5000 0.0000
Sb 0.2518 0.5809 0.3351
Tb 0.0000 0.6669 0.6663
Sb 0.7482 0.0840 0.3351
Sb 0.7482 0.4191 0.6649
Ce 0.0000 0.0000 0.0000
Tb 0.5000 0.1657 0.6686
Tb 0.0000 0.3331 0.3337

Properties
total moment	0.63	μB per formula unit
V	366	Å³/cell
crystal system	monoclinic
N(E_F)	6.7	states/eV per cell


Entry 3:
A plane-wave DFT calculation with PBE-GGA was carried out for a geometry-optimized TmSc3Hg12 structure.

Unit cell a=4.4194 b=4.4194 c=18.7203 alpha=90.00 beta=90.00 gamma=90.00
Element x y z (fractional)
Tm 0.0000 0.0000 0.0000
Hg 0.0000 0.5000 0.1289
Sc 0.0000 0.0000 0.5000
Hg 0.0000 0.5000 0.8711
Hg 0.5000 0.5000 0.0000
Sc 0.0000 0.0000 0.2538
Hg 0.5000 0.5000 0.2532
Sc 0.0000 0.0000 0.7462
Hg 0.5000 0.5000 0.7468
Hg 0.0000 0.5000 0.6234
Hg 0.0000 0.5000 0.3766
Hg 0.5000 0.0000 0.6234
Hg 0.5000 0.5000 0.5000
Hg 0.5000 0.0000 0.3766
Hg 0.5000 0.0000 0.8711
Hg 0.5000 0.0000 0.1289

Properties
total moment	0.00	μB per formula unit
V	366	Å³/cell
energy of formation from the pure elements	-5.2	kcal/mol of atoms
crystal system	tetragonal
N(E_F)	11.3	states/eV per cell


Entry 4:
A plane-wave DFT calculation with PBE-GGA was carried out for a geometry-optimized La8InSi3I4 structure.

Unit cell a=9.0041 b=9.3063 c=9.0042 alpha=118.93 beta=120.00 gamma=90.00
Element x y z (fractional)
I 0.5000 0.0000 0.0000
I 0.0000 0.0000 0.5000
La 0.7335 0.7006 0.4671
Si 0.0000 0.5000 0.5000
In 0.0000 0.5000 0.0000
La 0.2432 0.7104 0.4864
La 0.2432 0.7104 0.9672
I 0.5000 0.0000 0.5000
La 0.2665 0.2994 0.5329
La 0.7568 0.2896 0.5136
Si 0.5000 0.5000 0.0000
La 0.2760 0.2896 0.0328
I 0.0000 0.0000 0.0000
Si 0.5000 0.5000 0.5000
La 0.7568 0.2896 0.0328
La 0.7240 0.7104 0.9672

Properties
total moment	0.00	μB per formula unit
V	542	Å³/cell
crystal system	trigonal
N(E_F)	8.2	states/eV per cell


Entry 5:
A plane-wave DFT calculation with PBE-GGA was carried out for a geometry-optimized ThPaPdRh structure.

Unit cell a=5.0010 b=5.0010 c=5.0010 alpha=60.00 beta=60.00 gamma=60.00
Element x y z (fractional)
Pd 0.2500 0.2500 0.2500
Rh 0.7500 0.7500 0.7500
Pa 0.5000 0.5000 0.5000
Th 0.0000 0.0000 0.0000

Properties
total moment	0.63	μB per formula unit
V	88	Å³/cell
energy of formation from the pure elements	-12.3	kcal/mol of atoms
crystal system	cubic
N(E_F)	6.0	states/eV per cell


Entry 6:
A plane-wave DFT calculation with PBE-GGA was carried out for a geometry-optimized LaMg2Ge structure.

Unit cell a=4.3877 b=4.3877 c=11.5899 alpha=79.09 beta=79.09 gamma=90.00
Element x y z (fractional)
Mg 0.8750 0.8474 0.7500
Mg 0.5974 0.1250 0.2500
Mg 0.3750 0.4026 0.7500
Mg 0.1526 0.6250 0.2500
Ge 0.5000 0.5000 0.0000
La 0.0000 0.0000 0.0000
Ge 0.2500 0.7500 0.5000
La 0.7500 0.2500 0.5000

Properties
total moment	0.00	μB per formula unit
V	215	Å³/cell
energy of formation from the pure elements	-3.3	kcal/mol of atoms
crystal system	tetragonal
N(E_F)	3.1	states/eV per cell


Entry 7:
A plane-wave DFT calculation with PBE-GGA was carried out for a geometry-optimized CoAgMo2 structure.

Unit cell a=5.0599 b=5.0599 c=5.0599 alpha=142.96 beta=127.27 gamma=66.19
Element x y z (fractional)
Ag 0.4913 0.4913 0.0000
Co 0.2354 0.7354 0.5000
Mo 0.0033 0.0033 0.0000
Mo 0.7700 0.2700 0.5000

Properties
total moment	1.76	μB per formula unit
V	61	Å³/cell
energy of formation from the pure elements	12.0	kcal/mol of atoms
energy relative to the lowest polymorph listed for this composition	89	kJ/mol of formula units
crystal system	orthorhombic
N(E_F)	4.3	states/eV per cell


Entry 8:
A plane-wave DFT calculation with PBE-GGA was carried out for a geometry-optimized Ta2CuBr structure.

Unit cell a=5.2655 b=5.2655 c=5.2655 alpha=136.09 beta=136.09 gamma=63.85
Element x y z (fractional)
Ta 0.2500 0.7500 0.5000
Cu 0.7500 0.2500 0.5000
Ta 0.0000 0.0000 0.0000
Br 0.5000 0.5000 0.0000

Properties
total moment	0.00	μB per formula unit
V	69	Å³/cell
energy relative to the lowest polymorph listed for this composition	224	kJ/mol of formula units
crystal system	tetragonal
N(E_F)	4.6	states/eV per cell


E_tot? In order: -95.945 -67.423 -30.717 -79.455 -31.593 -26.625 -29.544 -26.081 eV/cell.